Material: Hf2TiMo
Method: DFT, PBE
State: relaxed

## Properties
energy of formation from the pure elements	0.09	eV/f.u.
N(E_F)	6.6	states/eV/f.u.
E above lowest polymorph	0	meV/atom

abc: 3.329 3.329 6.908
angles: 90.00 90.00 90.00
Atoms (fractional coordinates):
Mo 0.500 0.500 0.000
Hf 0.000 0.000 0.769
Hf 0.000 0.000 0.231
Ti 0.500 0.500 0.500

Material: LaNdEuY
Method: DFT, PBE
State: relaxed

## Properties
energy of formation from the pure elements	0.48	eV/f.u.
N(E_F)	6.4	states/eV/f.u.

abc: 5.901 5.901 5.901
angles: 60.00 60.00 60.00
Last column: magnetic moment on the atom in μB.
Atoms (fractional coordinates):
Eu 0.250 0.250 0.250  6.86
Y 0.750 0.750 0.750  0.07
Nd 0.500 0.500 0.500  0.09
La 0.000 0.000 0.000  0.10

Material: Nd4O
Method: DFT, PBE
State: relaxed

## Properties
raw formation energy	-1.077	eV per atom
N(E_F)	5.0	states/eV/f.u.
E above lowest polymorph	0	meV/atom

abc: 5.129 5.129 5.129
angles: 90.00 90.00 90.00
Atoms (fractional coordinates):
Nd 0.000 0.000 0.000
Nd 0.500 0.000 0.500
Nd 0.000 0.500 0.500
Nd 0.500 0.500 0.000
O 0.500 0.500 0.500

Repeat the third record exactly.
Material: Nd4O
Method: DFT, PBE
State: relaxed

## Properties
raw formation energy	-1.077	eV per atom
N(E_F)	5.0	states/eV/f.u.
E above lowest polymorph	0	meV/atom

abc: 5.129 5.129 5.129
angles: 90.00 90.00 90.00
Atoms (fractional coordinates):
Nd 0.000 0.000 0.000
Nd 0.500 0.000 0.500
Nd 0.000 0.500 0.500
Nd 0.500 0.500 0.000
O 0.500 0.500 0.500

- N(E_F) of number 1 (Hf2TiMo)?
  6.6 states/eV/f.u.

- Among the records above, which one has the lowest N(E_F)?
  Nd4O

Please write out number 3 again, unchanged.
Material: Nd4O
Method: DFT, PBE
State: relaxed

## Properties
raw formation energy	-1.077	eV per atom
N(E_F)	5.0	states/eV/f.u.
E above lowest polymorph	0	meV/atom

abc: 5.129 5.129 5.129
angles: 90.00 90.00 90.00
Atoms (fractional coordinates):
Nd 0.000 0.000 0.000
Nd 0.500 0.000 0.500
Nd 0.000 0.500 0.500
Nd 0.500 0.500 0.000
O 0.500 0.500 0.500